1.
Computed, not measured: a relaxed Na2TlIn2Pb2 crystal at the PBE level of DFT.

Output
**Total moment**: 0.0 μB per cell
**ΔE_f**: -0.043 eV/atom

```
Na2TlIn2Pb2
1.0
-4.183 -0.662 3.289
4.621 -2.598 0.983
-0.929 10.682 0.968
Na Tl In Pb
2 1 2 2
Direct
0.784 0.569 0.665
0.216 0.431 0.335
0.000 0.000 0.500
0.728 0.456 0.113
0.272 0.544 0.887
0.512 0.023 0.749
0.488 0.977 0.251
```

2.
Computed, not measured: a relaxed NaTl2InPb2 crystal at the PBE level of DFT.

Output
**Total moment**: 0.0 μB per cell
**ΔE_f**: -0.051 eV/atom

```
NaTl2InPb2
1.0
-0.505 4.646 1.122
-7.151 -0.738 -0.159
0.026 -2.414 10.005
Na Tl In Pb
2 4 2 4
Direct
0.000 0.878 0.495
0.000 0.378 0.505
0.000 0.386 0.828
0.500 0.133 0.346
0.000 0.886 0.172
0.500 0.633 0.654
0.500 0.126 0.674
0.500 0.626 0.326
0.500 0.136 0.000
0.000 0.387 0.176
0.500 0.636 0.000
0.000 0.887 0.824
```

3.
Computed, not measured: a relaxed NaTl4In2Pb2 crystal at the PBE level of DFT.

Output
**Total moment**: 0.0 μB per cell
**ΔE_f**: -0.025 eV/atom

```
NaTl4In2Pb2
1.0
3.948 0.000 0.000
-1.974 8.239 -0.446
0.000 -3.353 8.433
Na Tl In Pb
1 4 2 2
Direct
0.000 0.000 0.000
0.773 0.546 0.678
0.227 0.454 0.322
0.557 0.114 0.333
0.443 0.886 0.667
0.895 0.790 0.346
0.105 0.210 0.654
0.334 0.668 0.021
0.666 0.332 0.979
```

4.
Computed, not measured: a relaxed Na2Tl2In2Pb crystal at the PBE level of DFT.

Output
**Total moment**: 0.0 μB per cell
**ΔE_f**: -0.063 eV/atom

```
Na2Tl2In2Pb
1.0
-4.819 -2.257 -1.373
-0.387 -5.436 -0.708
-3.460 -3.411 6.749
Na Tl In Pb
2 2 2 1
Direct
0.140 0.140 0.579
0.860 0.860 0.421
0.575 0.575 0.274
0.425 0.425 0.726
0.716 0.716 0.852
0.284 0.284 0.148
0.000 0.000 0.000
```

5.
Computed, not measured: a relaxed NaTlInPb3 crystal at the PBE level of DFT.

Output
**Total moment**: 0.0 μB per cell
**ΔE_f**: -0.058 eV/atom

```
NaTlInPb3
1.0
-0.252 4.810 -1.296
-6.940 -1.058 -2.573
0.343 2.734 10.076
Na Tl In Pb
2 2 2 6
Direct
0.250 0.117 0.294
0.750 0.883 0.706
0.250 0.126 0.632
0.750 0.874 0.368
0.250 0.623 0.121
0.750 0.377 0.879
0.750 0.869 0.036
0.250 0.131 0.964
0.250 0.621 0.452
0.750 0.379 0.548
0.750 0.374 0.210
0.250 0.626 0.790
```

6.
Computed, not measured: a relaxed Na4Tl2In2Pb crystal at the PBE level of DFT.

Output
**Total moment**: 0.0 μB per cell
**ΔE_f**: -0.087 eV/atom

```
Na4Tl2In2Pb
1.0
5.852 1.042 -0.871
0.099 8.190 0.628
-3.749 -3.978 5.790
Na Tl In Pb
4 2 2 1
Direct
0.531 0.775 0.944
0.732 0.678 0.433
0.469 0.225 0.056
0.268 0.322 0.567
0.241 0.880 0.468
0.759 0.120 0.532
0.951 0.437 0.122
0.049 0.563 0.878
0.000 0.000 0.000
```

7.
Computed, not measured: a relaxed NaTlIn2Pb2 crystal at the PBE level of DFT.

Output
**Total moment**: 0.0 μB per cell
**ΔE_f**: -0.048 eV/atom

```
NaTlIn2Pb2
1.0
-0.821 -4.200 -2.186
-0.692 -3.144 6.302
-10.055 2.017 -0.097
Na Tl In Pb
2 2 4 4
Direct
0.000 0.886 0.497
0.000 0.386 0.503
0.500 0.137 0.655
0.500 0.637 0.345
0.000 0.381 0.828
0.500 0.130 0.324
0.000 0.881 0.172
0.500 0.630 0.676
0.500 0.132 0.999
0.000 0.379 0.175
0.500 0.632 0.001
0.000 0.879 0.825
```

8.
Computed, not measured: a relaxed Na2Tl2In4Pb crystal at the PBE level of DFT.

Output
**Total moment**: 0.0 μB per cell
**ΔE_f**: 0.044 eV/atom

```
Na2Tl2In4Pb
1.0
7.443 -0.217 -0.313
-3.763 6.425 0.313
-3.763 -1.965 6.126
Na Tl In Pb
2 2 4 1
Direct
0.000 0.725 0.725
0.000 0.275 0.275
0.500 0.750 0.250
0.500 0.250 0.750
0.000 0.711 0.289
0.422 0.711 0.711
0.000 0.289 0.711
0.578 0.289 0.289
0.000 0.000 0.000
```

9.
Computed, not measured: a relaxed NaTl2InPb crystal at the PBE level of DFT.

Output
**Total moment**: 0.0 μB per cell
**ΔE_f**: 0.004 eV/atom

```
NaTl2InPb
1.0
-5.102 -1.558 1.072
2.264 -1.763 -5.594
3.405 -8.382 4.020
Na Tl In Pb
2 4 2 2
Direct
0.818 0.636 0.750
0.182 0.364 0.250
0.321 0.642 0.955
0.679 0.358 0.045
0.321 0.642 0.545
0.679 0.358 0.455
0.535 0.071 0.750
0.465 0.929 0.250
0.000 0.000 0.000
0.000 0.000 0.500
```

10.
Computed, not measured: a relaxed NaTl2In5Pb crystal at the PBE level of DFT.

Output
**Total moment**: 0.0 μB per cell
**ΔE_f**: -0.021 eV/atom

```
NaTl2In5Pb
1.0
-1.115 -1.559 4.203
7.900 1.969 0.287
-3.398 13.058 3.942
Na Tl In Pb
2 4 10 2
Direct
0.583 0.166 0.923
0.417 0.834 0.423
0.921 0.842 0.925
0.085 0.170 0.753
0.079 0.158 0.425
0.915 0.830 0.253
0.418 0.835 0.091
0.754 0.507 0.754
0.415 0.830 0.754
0.252 0.505 0.597
0.916 0.831 0.595
0.582 0.165 0.591
0.246 0.493 0.254
0.585 0.170 0.254
0.748 0.495 0.097
0.084 0.169 0.095
0.750 0.500 0.430
0.250 0.500 0.930
```

11.
Computed, not measured: a relaxed NaTl3InPb crystal at the PBE level of DFT.

Output
**Total moment**: 0.0 μB per cell
**ΔE_f**: -0.053 eV/atom

```
NaTl3InPb
1.0
-2.239 0.986 3.965
-4.055 -6.900 -0.573
9.544 0.360 5.300
Na Tl In Pb
2 6 2 2
Direct
0.250 0.133 0.293
0.750 0.867 0.707
0.750 0.875 0.045
0.250 0.125 0.955
0.250 0.638 0.460
0.750 0.362 0.540
0.750 0.387 0.213
0.250 0.613 0.787
0.250 0.112 0.620
0.750 0.888 0.380
0.250 0.630 0.130
0.750 0.370 0.870
```

12.
Computed, not measured: a relaxed NaTlInPb2 crystal at the PBE level of DFT.

Output
**Total moment**: 0.0 μB per cell
**ΔE_f**: -0.020 eV/atom

```
NaTlInPb2
1.0
-1.179 0.253 -4.928
5.330 -2.232 1.222
-4.543 -10.551 0.545
Na Tl In Pb
2 2 2 4
Direct
0.094 0.188 0.750
0.906 0.812 0.250
0.599 0.197 0.250
0.401 0.803 0.750
0.500 0.000 0.500
0.500 0.000 0.000
0.219 0.438 0.096
0.781 0.562 0.596
0.219 0.438 0.404
0.781 0.562 0.904
```

13.
Computed, not measured: a relaxed Na2Tl5InPb crystal at the PBE level of DFT.

Output
**Total moment**: 0.0 μB per cell
**ΔE_f**: -0.066 eV/atom

```
Na2Tl5InPb
1.0
4.774 0.000 0.000
-2.387 7.338 0.000
0.000 0.000 15.007
Na Tl In Pb
4 10 2 2
Direct
0.914 0.828 0.928
0.086 0.171 0.752
0.086 0.172 0.428
0.914 0.829 0.252
0.412 0.823 0.086
0.751 0.502 0.762
0.413 0.826 0.766
0.252 0.503 0.588
0.918 0.836 0.593
0.588 0.177 0.586
0.249 0.498 0.262
0.587 0.174 0.266
0.748 0.497 0.088
0.082 0.164 0.093
0.758 0.515 0.423
0.242 0.485 0.923
0.588 0.177 0.924
0.412 0.823 0.424
```

14.
Computed, not measured: a relaxed NaTl2InPb4 crystal at the PBE level of DFT.

Output
**Total moment**: 0.0 μB per cell
**ΔE_f**: -0.046 eV/atom

```
NaTl2InPb4
1.0
4.958 0.000 0.000
0.000 10.730 -1.982
0.000 3.020 3.928
Na Tl In Pb
1 2 1 4
Direct
0.000 0.500 0.500
0.000 0.000 0.000
0.500 0.000 0.500
0.500 0.500 0.000
0.000 0.739 0.764
0.000 0.261 0.236
0.500 0.739 0.261
0.500 0.261 0.739
```

15.
Computed, not measured: a relaxed NaTl2In2Pb2 crystal at the PBE level of DFT.

Output
**Total moment**: 0.0 μB per cell
**ΔE_f**: 0.006 eV/atom

```
NaTl2In2Pb2
1.0
-3.676 -1.419 0.682
1.419 -0.997 -6.148
4.045 -5.579 10.195
Na Tl In Pb
1 2 2 2
Direct
0.000 0.000 0.500
0.801 0.603 0.634
0.199 0.397 0.366
0.663 0.326 0.142
0.337 0.674 0.858
0.615 0.230 0.841
0.385 0.770 0.159
```

16.
Computed, not measured: a relaxed Na2Tl4In2Pb crystal at the PBE level of DFT.

Output
**Total moment**: 0.0 μB per cell
**ΔE_f**: -0.061 eV/atom

```
Na2Tl4In2Pb
1.0
4.044 0.000 0.000
-2.022 7.952 0.061
0.000 -2.592 8.093
Na Tl In Pb
2 4 2 1
Direct
0.883 0.765 0.332
0.117 0.235 0.668
0.783 0.565 0.673
0.217 0.435 0.327
0.549 0.099 0.334
0.451 0.901 0.666
0.331 0.661 0.002
0.669 0.339 0.998
0.000 0.000 0.000
```

17.
Computed, not measured: a relaxed NaTlIn3Pb crystal at the PBE level of DFT.

Output
**Total moment**: 0.0 μB per cell
**ΔE_f**: -0.032 eV/atom

```
NaTlIn3Pb
1.0
4.642 0.000 0.000
0.000 7.789 -1.128
0.000 -3.244 9.837
Na Tl In Pb
2 2 6 2
Direct
0.250 0.623 0.126
0.750 0.377 0.874
0.250 0.119 0.286
0.750 0.881 0.714
0.750 0.874 0.036
0.250 0.126 0.964
0.250 0.621 0.463
0.750 0.379 0.537
0.750 0.366 0.209
0.250 0.634 0.791
0.250 0.138 0.626
0.750 0.862 0.374
```

18.
Computed, not measured: a relaxed Na2Tl2InPb crystal at the PBE level of DFT.

Output
**Total moment**: 0.0 μB per cell
**ΔE_f**: -0.085 eV/atom

```
Na2Tl2InPb
1.0
5.671 0.000 0.000
0.000 6.120 0.000
0.000 0.000 10.017
Na Tl In Pb
4 4 2 2
Direct
0.500 0.152 0.078
0.000 0.354 0.248
0.500 0.652 0.922
0.000 0.854 0.752
0.000 0.340 0.915
0.500 0.174 0.409
0.000 0.840 0.085
0.500 0.674 0.591
0.500 0.172 0.740
0.500 0.672 0.260
0.000 0.853 0.416
0.000 0.353 0.584
```

19.
Computed, not measured: a relaxed Na2Tl2In5Pb2 crystal at the PBE level of DFT.

Output
**Total moment**: 0.0 μB per cell
**ΔE_f**: 0.138 eV/atom

```
Na2Tl2In5Pb2
1.0
-3.639 1.672 -1.859
-2.287 -3.553 1.280
-1.763 10.369 18.026
Na Tl In Pb
2 2 5 2
Direct
0.077 0.077 0.155
0.923 0.923 0.845
0.221 0.221 0.442
0.779 0.779 0.558
0.000 0.000 0.000
0.638 0.138 0.276
0.862 0.362 0.724
0.138 0.638 0.276
0.362 0.862 0.724
0.304 0.304 0.609
0.696 0.696 0.391
```

20.
Computed, not measured: a relaxed Na2Tl4InPb2 crystal at the PBE level of DFT.

Output
**Total moment**: 0.0 μB per cell
**ΔE_f**: 0.069 eV/atom

```
Na2Tl4InPb2
1.0
7.308 -0.013 -0.018
-3.519 6.405 0.018
-3.519 -2.233 6.003
Na Tl In Pb
2 4 1 2
Direct
0.000 0.712 0.712
0.000 0.288 0.288
0.000 0.723 0.277
0.447 0.723 0.723
0.000 0.277 0.723
0.553 0.277 0.277
0.000 0.000 0.000
0.500 0.750 0.250
0.500 0.250 0.750
```